Arrangement i

## Sm2HoEr2 (PBE)

Data for a relaxed structure of Sm2HoEr2.

abc: 9.2191 13.2648 6.0162
angles: 90.00 112.33 90.00
Closest atoms and distances in Å follow each position.
Space group C2/c (No. 15)
Symmetry-distinct sites (fractional):
Sm: 0.1840 0.0761 0.3705 x8  1 Sm 3.14, 2 Ho 3.26-3.47, 2 Er 3.34-3.42
Ho: 0.0000 0.4372 0.7500 x4  4 Sm 3.26-3.47, 4 Er 3.42-3.54, 2 Ho 3.44
Er: 0.0000 0.1701 0.7500 x4  2 Er 3.50, 1 Ho 3.54, 6 Sm 3.55-3.68
Er: 0.0000 0.3047 0.2500 x4  4 Sm 3.34-3.42, 3 Ho 3.42-3.48, 2 Er 3.50



Arrangement ii

## Sm2HoEr2 (PBE)

Data for a relaxed structure of Sm2HoEr2.

abc: 9.2412 9.2412 3.7671
angles: 90.00 90.00 90.00
Closest atoms and distances in Å follow each position.
Space group P4/mbm (No. 127)
Symmetry-distinct sites (fractional):
Sm: 0.1302 0.3698 0.0000 x4  6 Er 3.23-3.36, 1 Sm 3.40
Ho: 0.0000 0.0000 0.0000 x2  4 Sm 3.62, 2 Ho 3.77, 8 Er 3.92
Er: 0.1689 0.6689 0.5000 x4  6 Sm 3.23-3.36



The structure with the greatest stability is arrangement ii.



Arrangement i

## Sm4Ho3Er5 (PBE)

Data for a relaxed structure of Sm4Ho3Er5.

abc: 6.1495 7.1005 8.6840
angles: 89.94 90.00 89.92
Closest atoms and distances in Å follow each position.
Space group P-1 (No. 2)
Symmetry-distinct sites (fractional):
Sm: 0.1666 0.2515 0.1680 x2  4 Ho 3.53-3.57, 5 Er 3.54-3.56, 3 Sm 3.55-3.57
Sm: 0.3320 0.9996 0.8315 x2  5 Er 3.53-3.55, 4 Sm 3.55-3.58, 3 Ho 3.55-3.57
Ho: 0.0000 0.5000 0.5000 x1  2 Ho 3.53, 2 Sm 3.53, 8 Er 3.53-3.55
Ho: 0.1678 0.7486 0.1685 x2  5 Er 3.53-3.57, 6 Sm 3.53-3.57, 1 Ho 3.53
Er: 0.0000 0.0000 0.5000 x1  4 Sm 3.53-3.54, 4 Ho 3.54-3.55, 4 Er 3.55-3.56
Er: 0.3336 0.4995 0.8313 x2  3 Er 3.53-3.57, 4 Ho 3.53-3.57, 5 Sm 3.55-3.56
Er: 0.4991 0.7483 0.5000 x2  6 Er 3.53-3.57, 3 Ho 3.53-3.55, 3 Sm 3.54



Arrangement ii

## Sm4Ho3Er5 (PBE)

Data for a relaxed structure of Sm4Ho3Er5.

abc: 15.9909 5.8823 9.2964
angles: 90.00 116.59 90.00
Closest atoms and distances in Å follow each position.
Space group C2/m (No. 12)
Symmetry-distinct sites (fractional):
Sm: 0.0834 0.0000 0.4445 x4  2 Sm 3.26-3.64, 1 Ho 3.39, 3 Er 3.41-3.51
Sm: 0.2152 0.0000 0.8814 x4  3 Ho 3.32-3.52, 3 Sm 3.54-3.64, 3 Er 3.65-3.66
Ho: 0.0000 0.5000 0.0000 x2  2 Er 2.94
Ho: 0.2115 0.0000 0.2359 x4  5 Er 3.10-3.43, 2 Sm 3.32-3.39
Er: 0.0000 0.0000 0.0000 x2  4 Ho 2.94-3.10
Er: 0.0713 0.5000 0.7015 x4  2 Ho 3.25-3.44, 2 Er 3.40-3.60
Er: 0.1715 0.5000 0.3842 x4  4 Ho 3.17-3.43, 3 Sm 3.41-3.51



The structure with the greatest stability is arrangement i.



Arrangement i

## SmHo9Er2 (PBE)

Data for a relaxed structure of SmHo9Er2.

abc: 4.9918 4.9918 14.9738
angles: 90.00 90.00 90.00
Closest atoms and distances in Å follow each position.
Space group P4/mmm (No. 123)
Symmetry-distinct sites (fractional):
Sm: 0.0000 0.0000 0.0000 x1  12 Ho 3.53-3.55
Ho: 0.0000 0.5000 0.1684 x4  2 Er 3.52, 8 Ho 3.52-3.55, 2 Sm 3.55
Ho: 0.0000 0.5000 0.5000 x2  8 Ho 3.52-3.53, 4 Er 3.52
Ho: 0.5000 0.5000 0.0000 x1  4 Sm 3.53, 8 Ho 3.55
Ho: 0.5000 0.5000 0.3346 x2  8 Ho 3.52, 4 Er 3.53
Er: 0.0000 0.0000 0.3342 x2  12 Ho 3.52-3.53



Arrangement ii

## SmHo9Er2 (PBE)

Data for a relaxed structure of SmHo9Er2.

abc: 11.1534 11.1534 3.4871
angles: 90.00 90.00 120.00
Closest atoms and distances in Å follow each position.
Space group P6/mmm (No. 191)
Symmetry-distinct sites (fractional):
Sm: 0.0000 0.0000 0.0000 x1  2 Sm 3.49, 12 Ho 3.85
Ho: 0.0000 0.5000 0.0000 x3  2 Er 3.22, 10 Ho 3.49-3.57
Ho: 0.1779 0.3558 0.5000 x6  8 Ho 3.44-3.57, 2 Er 3.47
Er: 0.3333 0.6667 0.0000 x2  9 Ho 3.22-3.47, 2 Er 3.49



The structure with the greatest stability is arrangement i.



Arrangement i

## Sm3Ho2Er (PBE)

Data for a relaxed structure of Sm3Ho2Er.

abc: 7.2011 7.2033 8.8798
angles: 78.24 78.21 60.06
Closest atoms and distances in Å follow each position.
Space group P-1 (No. 2)
Symmetry-distinct sites (fractional):
Sm: 0.1394 0.1389 0.1669 x2  2 Er 3.54-3.56, 4 Sm 3.54-3.61, 6 Ho 3.55-3.62
Sm: 0.1396 0.6389 0.1649 x2  6 Ho 3.54-3.61, 5 Sm 3.54-3.61, 1 Er 3.57
Sm: 0.2510 0.2493 0.5017 x2  3 Ho 3.53-3.55, 5 Sm 3.55-3.62, 4 Er 3.59-3.61
Ho: 0.3625 0.8603 0.8334 x2  8 Sm 3.54-3.61, 1 Er 3.54, 3 Ho 3.55-3.60
Ho: 0.3632 0.3607 0.8316 x2  7 Sm 3.53-3.62, 2 Er 3.53, 3 Ho 3.55-3.60
Er: 0.2511 0.7488 0.5012 x2  3 Ho 3.53-3.54, 7 Sm 3.54-3.61, 2 Er 3.59-3.62



Arrangement ii

## Sm3Ho2Er (PBE)

Data for a relaxed structure of Sm3Ho2Er.

abc: 10.7559 6.2067 11.5386
angles: 90.00 90.00 90.00
Closest atoms and distances in Å follow each position.
Space group Cmcm (No. 63)
Symmetry-distinct sites (fractional):
Sm: 0.0000 0.0000 0.0000 x4  4 Ho 3.55, 2 Er 3.55, 6 Sm 3.58-3.59
Sm: 0.1664 0.5000 0.0000 x8  2 Er 3.55, 4 Ho 3.55, 6 Sm 3.58-3.59
Ho: 0.1667 0.1660 0.2500 x8  6 Sm 3.55, 3 Ho 3.58-3.59, 3 Er 3.58
Er: 0.0000 0.3339 0.7500 x4  6 Sm 3.55, 6 Ho 3.58



The structure with the greatest stability is arrangement ii.